An optimized crystal structure of CaCoGeH, computed with PBE.

abc: 3.896 3.896 7.972
angles: 90.00 90.00 90.00
Positions (direct):
Ca 0.250 0.250 0.150
Ca 0.750 0.750 0.850
Co 0.250 0.750 0.500
Co 0.750 0.250 0.500
Ge 0.250 0.250 0.660
Ge 0.750 0.750 0.340
H 0.250 0.750 0.000
H 0.750 0.250 0.000

Calculated values
* electronic total energy: -38.1 eV per cell
* DOS(E_F): 2.3 states/eV/cell
* ρ: 4.74 g/cm³